Entry 1:
VASP calculation (PBE) on a relaxed structure of TiIr.

a = 2.9340 Å, b = 2.9340 Å, c = 3.5012 Å
α = 90.00°, β = 90.00°, γ = 90.00°
Sites, in units of the cell vectors:
1 Ti 0.0000 0.0000 0.0000
2 Ir 0.5000 0.5000 0.5000

Summary:
The total energy comes out at -9.231 eV/atom.



Entry 2:
VASP calculation (PBE) on a relaxed structure of TiIr.

a = 4.2963 Å, b = 4.2963 Å, c = 5.0893 Å
α = 90.00°, β = 90.00°, γ = 120.00°
Sites, in units of the cell vectors:
1 Ti 0.3333 0.6667 0.2500
2 Ti 0.6667 0.3333 0.7500
3 Ir 0.3333 0.6667 0.7500
4 Ir 0.6667 0.3333 0.2500

Summary:
The total energy comes out at -8.449 eV/atom.



Entry 3:
VASP calculation (PBE) on a relaxed structure of Ti3Ir.

a = 3.0757 Å, b = 4.4560 Å, c = 9.1703 Å
α = 90.00°, β = 90.00°, γ = 90.00°
Sites, in units of the cell vectors:
1 Ti 0.0000 0.0000 0.0000
2 Ti 0.0000 0.5000 0.2394
3 Ti 0.0000 0.5000 0.7606
4 Ti 0.5000 0.0000 0.2606
5 Ti 0.5000 0.0000 0.7394
6 Ti 0.5000 0.5000 0.5000
7 Ir 0.0000 0.0000 0.5000
8 Ir 0.5000 0.5000 0.0000

Summary:
The total energy comes out at -8.698 eV/atom.



Entry 4:
VASP calculation (PBE) on a relaxed structure of TiIr4.

a = 4.4950 Å, b = 4.4950 Å, c = 4.4950 Å
α = 90.00°, β = 90.00°, γ = 90.00°
Sites, in units of the cell vectors:
1 Ti 0.0000 0.0000 0.0000
2 Ir 0.0000 0.0000 0.5000
3 Ir 0.0000 0.5000 0.0000
4 Ir 0.5000 0.0000 0.0000
5 Ir 0.5000 0.5000 0.5000

Summary:
The value obtained for the offset from the most stable computed form is 1890 meV per atom.



Entry 5:
VASP calculation (PBE) on a relaxed structure of TiTl2Ir2.

a = 7.9295 Å, b = 7.9295 Å, c = 3.0234 Å
α = 90.00°, β = 90.00°, γ = 90.00°
Sites, in units of the cell vectors:
1 Ti 0.0000 0.0000 0.0000
2 Ti 0.5000 0.5000 0.0000
3 Tl 0.1344 0.3656 0.0000
4 Tl 0.3656 0.8656 0.0000
5 Tl 0.6344 0.1344 0.0000
6 Tl 0.8656 0.6344 0.0000
7 Ir 0.1672 0.6672 0.5000
8 Ir 0.3328 0.1672 0.5000
9 Ir 0.6672 0.8328 0.5000
10 Ir 0.8328 0.3328 0.5000

Summary:
The value obtained for the offset from the most stable computed form is 0 meV per atom.



Entry 6:
VASP calculation (PBE) on a relaxed structure of TiTl2Ir.

a = 7.7380 Å, b = 7.7380 Å, c = 5.7242 Å
α = 90.00°, β = 90.00°, γ = 90.00°
Sites, in units of the cell vectors:
1 Ti 0.0000 0.0000 0.0000
2 Ti 0.0000 0.5000 0.2500
3 Ti 0.5000 0.0000 0.7500
4 Ti 0.5000 0.5000 0.5000
5 Tl 0.2340 0.2500 0.6250
6 Tl 0.2500 0.7340 0.8750
7 Tl 0.2500 0.7660 0.3750
8 Tl 0.2660 0.2500 0.1250
9 Tl 0.7340 0.7500 0.1250
10 Tl 0.7500 0.2340 0.3750
11 Tl 0.7500 0.2660 0.8750
12 Tl 0.7660 0.7500 0.6250
13 Ir 0.0000 0.0000 0.5000
14 Ir 0.0000 0.5000 0.7500
15 Ir 0.5000 0.0000 0.2500
16 Ir 0.5000 0.5000 0.0000

Summary:
The value obtained for the offset from the most stable computed form is 182 meV per atom.



Calculated volume values, unit A^3/atom, following the record order: 15.07; 20.34; 15.71; 18.16; 19.01; 21.42.